Record 1
# MgAl2Ga | Alexandria | PBE | optimized geometry
data_MgAl2Ga
_chemical_formula_sum 'Mg3 Al6 Ga3'
_cell_length_a 4.0209
_cell_length_b 4.0209
_cell_length_c 18.6879
_cell_angle_alpha 90.00
_cell_angle_beta 90.00
_cell_angle_gamma 120.00
_space_group_name_H-M_alt 'R 3 m'
_space_group_IT_number 160
_space_group_name_Hall 'R 3 -2"'
loop_
_atom_site_label
_atom_site_fract_x
_atom_site_fract_y
_atom_site_fract_z
Mg1 0.0000 0.0000 0.0000
Al1 0.0000 0.0000 0.4308
Al2 0.0000 0.0000 0.5706
Ga1 0.0000 0.0000 0.8346
# formation energy: 0.182 eV/atom

=====

Record 2
# AcPuPd2 | Alexandria | PBE | optimized geometry
data_AcPuPd2
_chemical_formula_sum 'Ac4 Pu4 Pd8'
_cell_length_a 7.3472
_cell_length_b 7.3472
_cell_length_c 7.3472
_cell_angle_alpha 90.00
_cell_angle_beta 90.00
_cell_angle_gamma 90.00
_space_group_name_H-M_alt 'F m -3 m'
_space_group_IT_number 225
_space_group_name_Hall '-F 4 2 3'
loop_
_atom_site_label
_atom_site_fract_x
_atom_site_fract_y
_atom_site_fract_z
Ac1 0.0000 0.0000 0.0000
Pu1 0.0000 0.0000 0.5000
Pd1 0.2500 0.2500 0.2500
# energy above the most stable polymorph in this dataset: 0.065 eV/atom
# formation energy: -0.511 eV/atom

=====

Results for E_tot: -2.845; -7.717 (in eV/atom, following the order of the records).